A geometry-optimized Tl2NiIrO6 structure, computed with GGA+U.

Calculated values
Calculated total energy = -5.323 eV per atom
Volume = 123.3 Å³/cell

Cell lengths 5.570, 5.570, 5.515 Å; angles 118.57, 118.57, 59.77 degrees
Fractional coordinates of all 10 atoms:
1 Tl 0.245 0.245 0.222
2 Tl 0.755 0.755 0.778
3 Ni 0.500 0.500 0.000
4 Ir 0.000 0.000 0.500
5 O 0.178 0.688 0.190
6 O 0.236 0.236 0.616
7 O 0.312 0.822 0.810
8 O 0.688 0.178 0.190
9 O 0.764 0.764 0.384
10 O 0.822 0.312 0.810

A geometry-optimized VNi2IrO6 structure, computed with GGA+U.

Calculated values
Calculated total energy = -5.988 eV per atom
Volume = 124.5 Å³/cell

Cell lengths 5.685, 5.685, 3.851 Å; angles 90.00, 90.00, 90.00 degrees
Fractional coordinates of all 10 atoms:
1 V 0.000 0.000 0.000
2 Ni 0.000 0.500 0.203
3 Ni 0.500 0.000 0.203
4 Ir 0.500 0.500 0.066
5 O 0.000 0.000 0.565
6 O 0.246 0.246 0.103
7 O 0.246 0.754 0.103
8 O 0.500 0.500 0.569
9 O 0.754 0.246 0.103
10 O 0.754 0.754 0.103

A geometry-optimized NiIrWO6 structure, computed with GGA+U.

Calculated values
Calculated total energy = -6.626 eV per atom
Volume = 202.8 Å³/cell

Cell lengths 5.046, 5.046, 9.199 Å; angles 90.00, 90.00, 120.00 degrees
Fractional coordinates of all 18 atoms:
1 Ni 0.000 0.000 0.000
2 Ni 0.000 0.000 0.500
3 Ir 0.333 0.667 0.250
4 Ir 0.667 0.333 0.750
5 W 0.333 0.667 0.750
6 W 0.667 0.333 0.250
7 O 0.011 0.345 0.630
8 O 0.011 0.665 0.870
9 O 0.335 0.345 0.870
10 O 0.335 0.989 0.630
11 O 0.345 0.011 0.130
12 O 0.345 0.335 0.370
13 O 0.655 0.665 0.630
14 O 0.655 0.989 0.870
15 O 0.665 0.011 0.370
16 O 0.665 0.655 0.130
17 O 0.989 0.335 0.130
18 O 0.989 0.655 0.370

A geometry-optimized YNiIrO2 structure, computed with GGA+U.

Calculated values
Calculated total energy = -5.414 eV per atom
Volume = 96.8 Å³/cell

Cell lengths 4.168, 4.168, 5.571 Å; angles 90.00, 90.00, 90.00 degrees
Fractional coordinates of all 5 atoms:
1 Y 0.000 0.000 0.000
2 Ni 0.000 0.000 0.500
3 Ir 0.500 0.500 0.500
4 O 0.000 0.500 0.000
5 O 0.500 0.000 0.000

A geometry-optimized YNiIrO2 structure, computed with GGA+U.

Calculated values
Calculated total energy = -5.857 eV per atom
Volume = 71.6 Å³/cell

Cell lengths 3.905, 3.905, 4.696 Å; angles 90.00, 90.00, 90.00 degrees
Fractional coordinates of all 5 atoms:
1 Y 0.000 0.000 0.000
2 Ni 0.500 0.500 0.000
3 Ir 0.500 0.500 0.500
4 O 0.000 0.500 0.500
5 O 0.500 0.000 0.500

A geometry-optimized Zn2NiIrO6 structure, computed with GGA+U.

Calculated values
Calculated total energy = -5.326 eV per atom
Volume = 210.1 Å³/cell

Cell lengths 5.229, 5.203, 9.250 Å; angles 90.00, 123.41, 90.00 degrees
Fractional coordinates of all 20 atoms:
1 Zn 0.227 0.029 0.243
2 Zn 0.227 0.471 0.743
3 Zn 0.773 0.529 0.257
4 Zn 0.773 0.971 0.757
5 Ni 0.000 0.000 0.500
6 Ni 0.000 0.500 0.000
7 Ir 0.500 0.000 0.000
8 Ir 0.500 0.500 0.500
9 O 0.149 0.091 0.761
10 O 0.149 0.409 0.261
11 O 0.232 0.665 0.556
12 O 0.232 0.835 0.056
13 O 0.417 0.179 0.574
14 O 0.417 0.321 0.074
15 O 0.583 0.679 0.926
16 O 0.583 0.821 0.426
17 O 0.768 0.165 0.944
18 O 0.768 0.335 0.444
19 O 0.851 0.591 0.739
20 O 0.851 0.909 0.239

A geometry-optimized ZnNiIrO6 structure, computed with GGA+U.

Calculated values
Calculated total energy = -5.404 eV per atom
Volume = 195.6 Å³/cell

Cell lengths 5.086, 5.086, 8.731 Å; angles 90.00, 90.00, 120.00 degrees
Fractional coordinates of all 18 atoms:
1 Zn 0.000 0.000 0.000
2 Zn 0.000 0.000 0.500
3 Ni 0.333 0.667 0.250
4 Ni 0.667 0.333 0.750
5 Ir 0.333 0.667 0.750
6 Ir 0.667 0.333 0.250
7 O 0.015 0.361 0.629
8 O 0.015 0.654 0.871
9 O 0.346 0.361 0.871
10 O 0.346 0.985 0.629
11 O 0.361 0.015 0.129
12 O 0.361 0.346 0.371
13 O 0.639 0.654 0.629
14 O 0.639 0.985 0.871
15 O 0.654 0.015 0.371
16 O 0.654 0.639 0.129
17 O 0.985 0.346 0.129
18 O 0.985 0.639 0.371

A geometry-optimized Zn2Ni2IrO6 structure, computed with GGA+U.

Calculated values
Calculated total energy = -5.164 eV per atom
Volume = 118.9 Å³/cell

Cell lengths 5.211, 5.211, 5.313 Å; angles 99.87, 99.87, 118.90 degrees
Fractional coordinates of all 11 atoms:
1 Zn 0.172 0.828 0.000
2 Zn 0.828 0.172 0.000
3 Ni 0.341 0.659 0.500
4 Ni 0.659 0.341 0.500
5 Ir 0.000 0.000 0.500
6 O 0.044 0.387 0.731
7 O 0.236 0.236 0.268
8 O 0.387 0.044 0.731
9 O 0.613 0.956 0.269
10 O 0.764 0.764 0.732
11 O 0.956 0.613 0.269